VASP calculation (PBE with a Hubbard U) on a geometry-optimized LaCoPO structure.

Cell and atoms, written as CIF:
```
data_LaCoPO
_chemical_formula_sum 'La2 Co2 P2 O2'
_symmetry_space_group_name_H-M 'P 1'
_symmetry_Int_Tables_number 1
_cell_length_a 3.971
_cell_length_b 3.971
_cell_length_c 8.242
_cell_angle_alpha 90.00
_cell_angle_beta 90.00
_cell_angle_gamma 90.00
loop_
_symmetry_equiv_pos_as_xyz
'x,y,z'
loop_
_atom_site_label
_atom_site_fract_x
_atom_site_fract_y
_atom_site_fract_z
Co1 0.750 0.250 0.500
Co2 0.250 0.750 0.500
La1 0.250 0.250 0.153
La2 0.750 0.750 0.847
O1 0.750 0.250 0.000
O2 0.250 0.750 0.000
P1 0.750 0.750 0.380
P2 0.250 0.250 0.620
```

Calculated values
electronic total energy: -6.8724 eV per atom
magnetization: 0.181 μB per atom